[1]
LiTlPb2 | GGA-PBEsol | optimized geometry

a = 4.7090 Å, b = 4.7090 Å, c = 9.5022 Å
α = 90.00°, β = 90.00°, γ = 90.00°
Last column: nearest neighbours and their distance in Å.
Positions (direct):
Li: 0.0000 0.0000 0.0000  4 Tl 3.33, 8 Pb 3.34
Li: 0.5000 0.5000 0.5000  4 Tl 3.33, 8 Pb 3.34
Tl: 0.0000 0.0000 0.5000  4 Li 3.33, 8 Pb 3.34
Tl: 0.5000 0.5000 0.0000  4 Li 3.33, 8 Pb 3.34
Pb: 0.0000 0.5000 0.2500  4 Pb 3.33, 4 Li 3.34, 4 Tl 3.34
Pb: 0.0000 0.5000 0.7500  4 Pb 3.33, 4 Tl 3.34, 4 Li 3.34
Pb: 0.5000 0.0000 0.2500  4 Pb 3.33, 4 Li 3.34, 4 Tl 3.34
Pb: 0.5000 0.0000 0.7500  4 Pb 3.33, 4 Tl 3.34, 4 Li 3.34

Calculated values
* crystal system: tetragonal
* ΔH_f (0 K): -121 meV per atom
* SG: I4/mmm (139)



[2]
LiTlPb2 | GGA-PBEsol | optimized geometry

a = 6.5819 Å, b = 9.5225 Å, c = 3.3882 Å
α = 90.00°, β = 90.00°, γ = 90.00°
Last column: nearest neighbours and their distance in Å.
Positions (direct):
Li: 0.0000 0.0000 0.0000  2 Tl 3.29, 8 Pb 3.35, 2 Li 3.39
Li: 0.5000 0.5000 0.0000  2 Tl 3.29, 8 Pb 3.35, 2 Li 3.39
Tl: 0.0000 0.5000 0.0000  2 Li 3.29, 8 Pb 3.35, 2 Tl 3.39
Tl: 0.5000 0.0000 0.0000  2 Li 3.29, 8 Pb 3.35, 2 Tl 3.39
Pb: 0.2500 0.2500 0.5000  4 Pb 3.29-3.39, 4 Tl 3.35, 4 Li 3.35
Pb: 0.2500 0.7500 0.5000  4 Pb 3.29-3.39, 4 Tl 3.35, 4 Li 3.35
Pb: 0.7500 0.2500 0.5000  4 Pb 3.29-3.39, 4 Tl 3.35, 4 Li 3.35
Pb: 0.7500 0.7500 0.5000  4 Pb 3.29-3.39, 4 Tl 3.35, 4 Li 3.35

Calculated values
* crystal system: orthorhombic
* ΔH_f (0 K): -107 meV per atom
* SG: Cmmm (65)